Below is a relaxed structure of LaLuC, with properties calculated at the PBE level.

```
LaLuC
1.0
3.592 0.000 0.000
-1.796 3.111 0.000
0.000 0.000 6.536
La Lu C
1 1 1
direct
0.000 0.000 0.000 La
0.333 0.667 0.423 Lu
0.667 0.333 0.239 C
```

Output
Crystal system: trigonal
Space-group type: No. 156
E_form (kcal/mol of atoms): -4.449
Raw total energy (eV/atom): -6.42